Record 1
A plane-wave DFT calculation with GGA+U was carried out for crystalline CoNi2WO6 at its relaxed geometry.

Lattice parameters (Å, degrees): 5.1635 5.1635 14.0804 90.00 90.00 120.00
Space group R3 (No. 146, hexagonal axes)
Asymmetric unit:
Co (0.0000, 0.0000, 0.0000) (multiplicity 3)
Ni (0.0000, 0.0000, 0.2076) (multiplicity 3)
Ni (0.0000, 0.0000, 0.7083) (multiplicity 3)
W (0.0000, 0.0000, 0.5087) (multiplicity 3)
O (0.0001, 0.3578, 0.7745) (multiplicity 9)
O (0.0043, 0.7070, 0.6020) (multiplicity 9)

Results
Density of states at the Fermi level   0.0 states/eV/cell


Record 2
A plane-wave DFT calculation with GGA+U was carried out for crystalline ZnCo3Ni2O6 at its relaxed geometry.

Lattice parameters (Å, degrees): 15.3886 2.8732 5.7225 90.00 103.76 90.00
Space group C2/m (No. 12)
Asymmetric unit:
Zn (0.0000, 0.0000, 0.0000) (multiplicity 2)
Co (0.0000, 0.0000, 0.5000) (multiplicity 2)
Co (0.1678, 0.5000, 0.8252) (multiplicity 4)
Ni (0.1673, 0.5000, 0.3280) (multiplicity 4)
O (0.0299, 0.5000, 0.7805) (multiplicity 4)
O (0.1415, 0.0000, 0.5323) (multiplicity 4)
O (0.1919, 0.0000, 0.1197) (multiplicity 4)


Record 3
A plane-wave DFT calculation with GGA+U was carried out for crystalline Zn2CoNiO4 at its relaxed geometry.

Lattice parameters (Å, degrees): 6.0703 6.0949 8.6019 90.00 90.00 90.00
Space group F222 (No. 22)
Asymmetric unit:
Zn (0.0000, 0.0000, 0.0000) (multiplicity 4)
Zn (0.2500, 0.2500, 0.2500) (multiplicity 4)
Co (0.0000, 0.0000, 0.5000) (multiplicity 4)
Ni (0.2500, 0.2500, 0.7500) (multiplicity 4)
O (0.0000, 0.0000, 0.2519) (multiplicity 8)
O (0.2500, 0.2500, 0.5043) (multiplicity 8)


Number 1: calculated volume 325.1 Å³/cell, electronic total energy -6.1547 eV/atom. Number 2: calculated volume 245.8 Å³/cell, electronic total energy -5.1937 eV/atom. Number 3: calculated volume 318.3 Å³/cell, electronic total energy -4.9031 eV/atom.